Here is a relaxed structure of TaGaMoO6 from Alexandria. Energies are from PBE+U.

The structure in POSCAR format:
```
TaGaMoO6
1.0
5.100 0.000 0.000
-2.550 4.416 0.000
0.000 0.000 9.142
Ta Ga Mo O
2 2 2 12
Direct
0.333 0.667 0.250
0.667 0.333 0.750
0.333 0.667 0.750
0.667 0.333 0.250
0.000 0.000 0.000
0.000 0.000 0.500
0.002 0.337 0.132
0.002 0.665 0.368
0.335 0.337 0.368
0.335 0.998 0.132
0.337 0.002 0.632
0.337 0.335 0.868
0.663 0.665 0.132
0.663 0.998 0.368
0.665 0.002 0.868
0.665 0.663 0.632
0.998 0.335 0.632
0.998 0.663 0.868
```

## Properties
- space group = P-31c
- raw total energy (eV/f.u.) = -70.66